# 1
TbDyGa PBE-GGA relaxed; E above lowest polymorph = 0 meV per atom; uncorrected energy = -4.477 eV per atom; space-group type = P2_1/m, No. 11; magnetic moment = 0.00 μB per cell; E_form = -0.391 eV per atom
1.0
3.675 0.001 -0.001
-0.001 5.152 0.247
-1.836 -0.393 8.196
Ga Tb Dy
2 2 2
direct
0.507 0.526 0.701
0.353 0.026 0.392
0.854 0.525 0.393
0.006 0.025 0.700
0.708 0.025 0.101
0.153 0.525 0.992

***

# 2
Eu2LuAu PBE-GGA relaxed; E above lowest polymorph = 281 meV per atom; uncorrected energy = -7.109 eV per atom; space-group type = R-3m, No. 166; magnetic moment = 14.91 μB per cell; E_form = -0.022 eV per atom
1.0
3.688 0.000 0.000
1.844 3.194 0.000
1.844 1.065 11.235
Eu Au Lu
2 1 1
direct
0.899 0.899 0.303
0.101 0.101 0.697
0.500 0.500 0.500
0.000 0.000 0.000